Compound: CdIF
Source: Alexandria via LeMat-Bulk
Functional: GGA-PBE
Structure: relaxed

POSCAR file:
```
CdIF
1.0
3.9772 0.0000 0.0000
-1.9886 3.4444 0.0000
0.0000 0.0000 5.7974
I Cd F
1 1 1
Cartesian
0.0000 0.0000 0.4276
1.9886 1.1481 2.2752
0.0000 2.2963 3.0946
```

## Properties
Distance to the lowest polymorph of the same formula (eV/f.u.): 0.46
Crystal system: trigonal